This record from Alexandria via LeMat-Bulk describes an optimized crystal structure of Na2TmMoPO8. The functional is PBE+U.

Properties
Total magnetization (μB per formula unit): 0.00
Symmetry: Ibca (73)
E (eV/cell): -361.7
Crystal system: orthorhombic

a b c (Å): 6.869 11.455 11.455
angles (deg): 63.75 72.55 72.55
Positions (direct):
Na  0.851  0.210  0.098
Na  0.149  0.790  0.902
Na  0.841  0.598  0.710
Na  0.649  0.902  0.790
Na  0.159  0.402  0.290
Na  0.351  0.098  0.210
Na  0.659  0.290  0.402
Na  0.341  0.710  0.598
Tm  0.250  0.322  0.678
Tm  0.750  0.678  0.322
Tm  0.750  0.178  0.822
Tm  0.250  0.822  0.178
Mo  0.676  0.574  0.074
Mo  0.324  0.426  0.926
Mo  0.824  0.926  0.426
Mo  0.176  0.074  0.574
P  0.250  0.068  0.932
P  0.750  0.932  0.068
P  0.750  0.432  0.568
P  0.250  0.568  0.432
O  0.827  0.440  0.424
O  0.173  0.560  0.576
O  0.309  0.924  0.940
O  0.673  0.576  0.560
O  0.691  0.076  0.060
O  0.327  0.424  0.440
O  0.191  0.060  0.076
O  0.809  0.940  0.924
O  0.067  0.156  0.858
O  0.933  0.844  0.142
O  0.920  0.358  0.656
O  0.433  0.142  0.844
O  0.080  0.642  0.344
O  0.567  0.858  0.156
O  0.580  0.344  0.642
O  0.420  0.656  0.358
O  0.167  0.393  0.845
O  0.833  0.607  0.155
O  0.594  0.345  0.893
O  0.333  0.155  0.607
O  0.406  0.655  0.107
O  0.667  0.845  0.393
O  0.906  0.107  0.655
O  0.094  0.893  0.345
O  0.770  0.641  0.899
O  0.230  0.359  0.101
O  0.689  0.399  0.141
O  0.730  0.101  0.359
O  0.311  0.601  0.859
O  0.270  0.899  0.641
O  0.811  0.859  0.601
O  0.189  0.141  0.399